Entry 1:
! PBE-GGA YSb2Rh, optimized geometry; values from VASP
! Magnetic moment (μB/f.u.): 0.0
! Energy (eV/cell): -24.07
! Space-group type: No. 71
&SYSTEM
  ibrav = 0, nat = 4, ntyp = 3
/
ATOMIC_SPECIES
Rh 102.91 Rh.upf
Sb 121.76 Sb.upf
Y 88.91 Y.upf
CELL_PARAMETERS angstrom
-1.8836 4.6450 -1.4770
0.1566 -1.3676 -5.0409
-2.6783 -1.9436 4.0441
ATOMIC_POSITIONS crystal
Rh 0.2500 0.7500 0.5000
Sb 0.0378 0.0378 0.0000
Sb 0.4622 0.4622 0.0000
Y 0.7500 0.2500 0.5000

=====

Entry 2:
! PBE-GGA Y3Sb5Rh6, optimized geometry; values from VASP
! Magnetic moment (μB/f.u.): 0.0
! Energy (eV/cell): -190.83
! Space-group type: No. 59
&SYSTEM
  ibrav = 0, nat = 28, ntyp = 3
/
ATOMIC_SPECIES
Y 88.91 Y.upf
Sb 121.76 Sb.upf
Rh 102.91 Rh.upf
CELL_PARAMETERS angstrom
4.2867 0.0000 0.0000
0.0000 9.9526 0.0000
0.0000 0.0000 13.3439
ATOMIC_POSITIONS crystal
Y 0.0000 0.2454 0.6708
Y 0.5000 0.7546 0.1708
Y 0.5000 0.7546 0.8292
Y 0.0000 0.2487 0.0000
Y 0.5000 0.7513 0.5000
Y 0.0000 0.2454 0.3292
Sb 0.0000 0.5265 0.8809
Sb 0.0000 0.8496 0.6669
Sb 0.0000 0.8394 0.0000
Sb 0.5000 0.4735 0.6191
Sb 0.5000 0.1606 0.5000
Sb 0.0000 0.5265 0.1191
Sb 0.5000 0.4735 0.3809
Sb 0.0000 0.8496 0.3331
Sb 0.5000 0.1504 0.8331
Sb 0.5000 0.1504 0.1669
Rh 0.0000 0.0005 0.8339
Rh 0.5000 0.9995 0.6661
Rh 0.5000 0.4058 0.8055
Rh 0.5000 0.5127 0.0000
Rh 0.0000 0.4873 0.5000
Rh 0.0000 0.5942 0.6945
Rh 0.0000 0.5942 0.3055
Rh 0.5000 0.0033 0.0000
Rh 0.0000 0.0005 0.1661
Rh 0.5000 0.4058 0.1945
Rh 0.0000 0.9967 0.5000
Rh 0.5000 0.9995 0.3339

=====

Entry 3:
! PBE-GGA Y2SbRh2, optimized geometry; values from VASP
! Magnetic moment (μB/f.u.): 0.0
! Energy (eV/cell): -71.83
! Energy above the most stable polymorph in this dataset (eV per atom): 0.081
! Space-group type: No. 127
&SYSTEM
  ibrav = 0, nat = 10, ntyp = 3
/
ATOMIC_SPECIES
Y 88.91 Y.upf
Sb 121.76 Sb.upf
Rh 102.91 Rh.upf
CELL_PARAMETERS angstrom
7.4488 0.0000 0.0000
0.0000 7.4488 0.0000
0.0000 0.0000 3.8491
ATOMIC_POSITIONS crystal
Y 0.1713 0.6713 0.5000
Y 0.6713 0.8287 0.5000
Y 0.8287 0.3287 0.5000
Y 0.3287 0.1713 0.5000
Sb 0.0000 0.0000 0.0000
Sb 0.5000 0.5000 0.0000
Rh 0.3662 0.8662 0.0000
Rh 0.8662 0.6338 0.0000
Rh 0.6338 0.1338 0.0000
Rh 0.1338 0.3662 0.0000

=====

Entry 4:
! PBE-GGA Y2SbRh, optimized geometry; values from VASP
! Magnetic moment (μB/f.u.): 0.0
! Energy (eV/cell): -26.67
! Space-group type: No. 160
&SYSTEM
  ibrav = 0, nat = 4, ntyp = 3
/
ATOMIC_SPECIES
Rh 102.91 Rh.upf
Sb 121.76 Sb.upf
Y 88.91 Y.upf
CELL_PARAMETERS angstrom
7.1909 -0.0001 -0.0001
5.8158 4.2292 -0.0001
5.8158 1.8910 3.7829
ATOMIC_POSITIONS crystal
Rh 0.4745 0.4745 0.4745
Sb 0.7809 0.7809 0.7809
Y 0.0333 0.0333 0.0333
Y 0.2113 0.2113 0.2113

=====

Entry 5:
! PBE-GGA Y2SbRh, optimized geometry; values from VASP
! Magnetic moment (μB/f.u.): 0.0
! Energy (eV/cell): -53.14
! Space-group type: No. 122
&SYSTEM
  ibrav = 0, nat = 8, ntyp = 3
/
ATOMIC_SPECIES
Y 88.91 Y.upf
Sb 121.76 Sb.upf
Rh 102.91 Rh.upf
CELL_PARAMETERS angstrom
7.8762 0.0000 0.0000
0.0000 7.8762 0.0000
3.9381 3.9381 3.3140
ATOMIC_POSITIONS crystal
Y 0.5822 0.1250 0.2500
Y 0.1678 0.6250 0.2500
Y 0.3750 0.4178 0.7500
Y 0.8750 0.8322 0.7500
Sb 0.0000 0.0000 0.0000
Sb 0.7500 0.2500 0.5000
Rh 0.5000 0.5000 0.0000
Rh 0.2500 0.7500 0.5000

=====

Entry 6:
! PBE-GGA Y2SbRh, optimized geometry; values from VASP
! Magnetic moment (μB/f.u.): 0.0
! Energy (eV/cell): -25.76
! Space-group type: No. 216
&SYSTEM
  ibrav = 0, nat = 4, ntyp = 3
/
ATOMIC_SPECIES
Rh 102.91 Rh.upf
Sb 121.76 Sb.upf
Y 88.91 Y.upf
CELL_PARAMETERS angstrom
5.0222 0.0000 0.0000
2.5111 4.3494 0.0000
2.5111 1.4498 4.1006
ATOMIC_POSITIONS crystal
Rh 0.5000 0.5000 0.5000
Sb 0.7500 0.7500 0.7500
Y 0.0000 0.0000 0.0000
Y 0.2500 0.2500 0.2500

=====

Entry 7:
! PBE-GGA Y2SbRh, optimized geometry; values from VASP
! Magnetic moment (μB/f.u.): 0.0
! Energy (eV/cell): -27.38
! Space-group type: No. 12
&SYSTEM
  ibrav = 0, nat = 4, ntyp = 3
/
ATOMIC_SPECIES
Rh 102.91 Rh.upf
Sb 121.76 Sb.upf
Y 88.91 Y.upf
CELL_PARAMETERS angstrom
4.2075 0.0060 -0.0064
2.1133 3.6383 -0.0064
2.1007 1.2112 6.9074
ATOMIC_POSITIONS crystal
Rh 0.7500 0.7500 0.7500
Sb 0.2500 0.2500 0.2500
Y 0.0090 0.0090 0.9734
Y 0.4910 0.4910 0.5266

=====

Entry 8:
! PBE-GGA Y3Sb2Rh6, optimized geometry; values from VASP
! Magnetic moment (μB/f.u.): 0.0
! Energy (eV/cell): -159.65
! Space-group type: No. 229
&SYSTEM
  ibrav = 0, nat = 22, ntyp = 3
/
ATOMIC_SPECIES
Y 88.91 Y.upf
Sb 121.76 Sb.upf
Rh 102.91 Rh.upf
CELL_PARAMETERS angstrom
-3.2628 5.5464 -5.1016
3.8787 -5.7793 -4.3578
-5.9663 -3.4699 4.4496
ATOMIC_POSITIONS crystal
Y 0.7142 0.0000 0.7142
Y 0.2858 0.0000 0.2858
Y 0.0000 0.2858 0.2858
Y 0.0000 0.7142 0.7142
Y 0.2858 0.2858 0.0000
Y 0.7142 0.7142 0.0000
Sb 0.0000 0.5000 0.0000
Sb 0.5000 0.0000 0.0000
Sb 0.0000 0.0000 0.5000
Sb 0.5000 0.5000 0.5000
Rh 0.6508 0.3017 0.6508
Rh 0.6508 0.0000 0.3492
Rh 0.3492 0.0000 0.6508
Rh 0.3492 0.6983 0.3492
Rh 0.0000 0.6508 0.3492
Rh 0.6983 0.3492 0.3492
Rh 0.3017 0.6508 0.6508
Rh 0.0000 0.3492 0.6508
Rh 0.3492 0.6508 0.0000
Rh 0.6508 0.6508 0.3017
Rh 0.3492 0.3492 0.6983
Rh 0.6508 0.3492 0.0000

=====

Entry 9:
! PBE-GGA Y2Zn2SbRh5, optimized geometry; values from VASP
! Magnetic moment (μB/f.u.): 0.0
! Energy (eV/cell): -126.10
! Space-group type: No. 127
&SYSTEM
  ibrav = 0, nat = 20, ntyp = 4
/
ATOMIC_SPECIES
Y 88.91 Y.upf
Zn 65.41 Zn.upf
Sb 121.76 Sb.upf
Rh 102.91 Rh.upf
CELL_PARAMETERS angstrom
3.6462 0.0000 0.0000
0.0000 9.7256 0.0000
0.0000 0.0000 9.7256
ATOMIC_POSITIONS crystal
Y 0.0000 0.6737 0.1737
Y 0.0000 0.3263 0.8263
Y 0.0000 0.1737 0.3263
Y 0.0000 0.8263 0.6737
Zn 0.0000 0.1240 0.6240
Zn 0.0000 0.8760 0.3760
Zn 0.0000 0.6240 0.8760
Zn 0.0000 0.3760 0.1240
Sb 0.0000 0.0000 0.0000
Sb 0.0000 0.5000 0.5000
Rh 0.5000 0.2051 0.0669
Rh 0.5000 0.7949 0.9331
Rh 0.5000 0.0669 0.7949
Rh 0.5000 0.7051 0.4331
Rh 0.5000 0.9331 0.2051
Rh 0.5000 0.2949 0.5669
Rh 0.5000 0.5669 0.7051
Rh 0.5000 0.4331 0.2949
Rh 0.5000 0.5000 0.0000
Rh 0.5000 0.0000 0.5000

=====

Entry 10:
! PBE-GGA ZnSbRh2, optimized geometry; values from VASP
! Magnetic moment (μB/f.u.): 0.0
! Energy (eV/cell): -40.23
! Space-group type: No. 122
&SYSTEM
  ibrav = 0, nat = 8, ntyp = 3
/
ATOMIC_SPECIES
Sb 121.76 Sb.upf
Zn 65.41 Zn.upf
Rh 102.91 Rh.upf
CELL_PARAMETERS angstrom
-3.7922 5.4944 -1.7995
-5.7342 -3.8492 0.3313
-5.0739 1.5269 2.0712
ATOMIC_POSITIONS crystal
Sb 0.0000 0.0000 0.0000
Sb 0.7500 0.2500 0.5000
Zn 0.5000 0.5000 0.0000
Zn 0.2500 0.7500 0.5000
Rh 0.6172 0.1250 0.2500
Rh 0.1328 0.6250 0.2500
Rh 0.3750 0.3828 0.7500
Rh 0.8750 0.8672 0.7500

=====

Entry 11:
! PBE-GGA ZnSbRh2, optimized geometry; values from VASP
! Magnetic moment (μB/f.u.): 0.0
! Energy (eV/cell): -21.34
! Space-group type: No. 123
&SYSTEM
  ibrav = 0, nat = 4, ntyp = 3
/
ATOMIC_SPECIES
Rh 102.91 Rh.upf
Sb 121.76 Sb.upf
Zn 65.41 Zn.upf
CELL_PARAMETERS angstrom
-2.8250 0.9928 -1.2650
-1.6087 -1.7109 2.2475
0.0381 4.7692 3.6580
ATOMIC_POSITIONS crystal
Rh 0.0000 0.0000 0.9946
Rh 0.0000 0.0000 0.5054
Sb 0.5000 0.5000 0.2500
Zn 0.5000 0.5000 0.7500

=====

Entry 12:
! PBE-GGA Zn2SbRh2, optimized geometry; values from VASP
! Magnetic moment (μB/f.u.): 0.0
! Energy (eV/cell): -44.24
! Energy above the most stable polymorph in this dataset (eV per atom): 0.101
! Space-group type: No. 127
&SYSTEM
  ibrav = 0, nat = 10, ntyp = 3
/
ATOMIC_SPECIES
Sb 121.76 Sb.upf
Zn 65.41 Zn.upf
Rh 102.91 Rh.upf
CELL_PARAMETERS angstrom
-6.4092 1.8174 2.8352
2.0598 -2.7068 6.3914
1.1272 2.7350 0.7950
ATOMIC_POSITIONS crystal
Sb 0.0000 0.0000 0.0000
Sb 0.5000 0.5000 0.0000
Zn 0.3774 0.8774 0.0000
Zn 0.8774 0.6226 0.0000
Zn 0.6226 0.1226 0.0000
Zn 0.1226 0.3774 0.0000
Rh 0.1723 0.6723 0.5000
Rh 0.6723 0.8277 0.5000
Rh 0.8277 0.3277 0.5000
Rh 0.3277 0.1723 0.5000

=====

Entry 13:
! PBE-GGA ZnSb2Rh2, optimized geometry; values from VASP
! Magnetic moment (μB/f.u.): 0.0
! Energy (eV/cell): -23.58
! Energy above the most stable polymorph in this dataset (eV per atom): 0.314
! Space-group type: No. 139
&SYSTEM
  ibrav = 0, nat = 5, ntyp = 3
/
ATOMIC_SPECIES
Sb 121.76 Sb.upf
Zn 65.41 Zn.upf
Rh 102.91 Rh.upf
CELL_PARAMETERS angstrom
-2.1440 3.0978 -2.3363
-3.4310 -0.2671 2.7943
-0.5225 5.3651 3.3876
ATOMIC_POSITIONS crystal
Sb 0.7500 0.2500 0.5000
Sb 0.2500 0.7500 0.5000
Zn 0.0000 0.0000 0.0000
Rh 0.3816 0.3816 0.2368
Rh 0.6184 0.6184 0.7632

=====

Entry 14:
! PBE-GGA ZnSbRh2, optimized geometry; values from VASP
! Magnetic moment (μB/f.u.): 0.0
! Energy (eV/cell): -20.20
! Space-group type: No. 216
&SYSTEM
  ibrav = 0, nat = 4, ntyp = 3
/
ATOMIC_SPECIES
Rh 102.91 Rh.upf
Sb 121.76 Sb.upf
Zn 65.41 Zn.upf
CELL_PARAMETERS angstrom
4.5100 0.0000 0.0000
2.2550 3.9058 0.0000
2.2550 1.3019 3.6824
ATOMIC_POSITIONS crystal
Rh 0.0000 0.0000 0.0000
Rh 0.2500 0.2500 0.2500
Sb 0.5000 0.5000 0.5000
Zn 0.7500 0.7500 0.7500

=====

Entry 15:
! PBE-GGA Zn3SbRh4, optimized geometry; values from VASP
! Magnetic moment (μB/f.u.): 0.0
! Energy (eV/cell): -41.07
! Space-group type: No. 139
&SYSTEM
  ibrav = 0, nat = 8, ntyp = 3
/
ATOMIC_SPECIES
Sb 121.76 Sb.upf
Zn 65.41 Zn.upf
Rh 102.91 Rh.upf
CELL_PARAMETERS angstrom
4.2193 0.0000 -1.1389
-0.3027 4.2132 -1.1214
-0.4228 -0.4803 6.8188
ATOMIC_POSITIONS crystal
Sb 0.5000 0.0000 0.0000
Zn 0.0000 0.5000 0.0000
Zn 0.7557 0.2558 0.5115
Zn 0.2443 0.7442 0.4885
Rh 0.3747 0.3746 0.7493
Rh 0.6253 0.6254 0.2507
Rh 0.1253 0.1254 0.2507
Rh 0.8747 0.8746 0.7493

=====

Entry 16:
! PBE-GGA Zn4SbRh, optimized geometry; values from VASP
! Magnetic moment (μB/f.u.): 0.0
! Energy (eV/cell): -16.72
! Space-group type: No. 216
&SYSTEM
  ibrav = 0, nat = 6, ntyp = 3
/
ATOMIC_SPECIES
Zn 65.41 Zn.upf
Sb 121.76 Sb.upf
Rh 102.91 Rh.upf
CELL_PARAMETERS angstrom
3.9366 -1.5472 2.9309
1.3503 2.7324 4.1462
-0.8803 -1.8702 4.7125
ATOMIC_POSITIONS crystal
Zn 0.8703 0.3766 0.3766
Zn 0.3766 0.3766 0.8703
Zn 0.3766 0.8703 0.3766
Zn 0.3766 0.3766 0.3766
Sb 0.0000 0.0000 0.0000
Rh 0.7500 0.7500 0.7500

=====

Entry 17:
! PBE-GGA ZnSbRh2, optimized geometry; values from VASP
! Magnetic moment (μB/f.u.): 0.0
! Energy (eV/cell): -21.00
! Space-group type: No. 119
&SYSTEM
  ibrav = 0, nat = 4, ntyp = 3
/
ATOMIC_SPECIES
Rh 102.91 Rh.upf
Sb 121.76 Sb.upf
Zn 65.41 Zn.upf
CELL_PARAMETERS angstrom
5.1568 0.0122 0.0000
2.3525 4.5889 0.0000
-3.7546 -2.3006 2.6838
ATOMIC_POSITIONS crystal
Rh 0.0000 0.0000 0.0000
Rh 0.2500 0.7500 0.5000
Sb 0.5000 0.5000 0.0000
Zn 0.7500 0.2500 0.5000

=====

Entry 18:
! PBE-GGA Zn2SbRh4, optimized geometry; values from VASP
! Magnetic moment (μB/f.u.): 0.0
! Energy (eV/cell): -37.50
! Space-group type: No. 139
&SYSTEM
  ibrav = 0, nat = 7, ntyp = 3
/
ATOMIC_SPECIES
Zn 65.41 Zn.upf
Sb 121.76 Sb.upf
Rh 102.91 Rh.upf
CELL_PARAMETERS angstrom
4.9710 0.0607 -1.7123
-2.4602 4.2701 -1.8330
0.0350 -0.0607 5.2575
ATOMIC_POSITIONS crystal
Zn 0.5000 0.5000 0.0000
Zn 0.5000 0.0000 0.5000
Sb 0.0000 0.0000 0.0000
Rh 0.5000 0.0000 0.0000
Rh 0.5000 0.5000 0.5000
Rh 0.0000 0.0000 0.5000
Rh 0.0000 0.5000 0.0000

=====

Entry 19:
! PBE-GGA Zn2SbRh2, optimized geometry; values from VASP
! Magnetic moment (μB/f.u.): 0.0
! Energy (eV/cell): -45.25
! Energy above the most stable polymorph in this dataset (eV per atom): 0.000
! Space-group type: No. 127
&SYSTEM
  ibrav = 0, nat = 10, ntyp = 3
/
ATOMIC_SPECIES
Sb 121.76 Sb.upf
Zn 65.41 Zn.upf
Rh 102.91 Rh.upf
CELL_PARAMETERS angstrom
7.1632 0.0000 0.0000
0.0000 7.1632 0.0000
0.0000 0.0000 3.1608
ATOMIC_POSITIONS crystal
Sb 0.0000 0.0000 0.0000
Sb 0.5000 0.5000 0.0000
Zn 0.1386 0.6386 0.5000
Zn 0.6386 0.8614 0.5000
Zn 0.8614 0.3614 0.5000
Zn 0.3614 0.1386 0.5000
Rh 0.3439 0.8439 0.0000
Rh 0.8439 0.6561 0.0000
Rh 0.6561 0.1561 0.0000
Rh 0.1561 0.3439 0.0000

=====

Entry 20:
! PBE-GGA ZnSbRh2, optimized geometry; values from VASP
! Magnetic moment (μB/f.u.): 0.0
! Energy (eV/cell): -21.50
! Space-group type: No. 123
&SYSTEM
  ibrav = 0, nat = 4, ntyp = 3
/
ATOMIC_SPECIES
Sb 121.76 Sb.upf
Zn 65.41 Zn.upf
Rh 102.91 Rh.upf
CELL_PARAMETERS angstrom
-3.1629 2.3065 1.5718
-2.7899 -2.5514 -1.8700
-0.0600 -2.0405 2.8736
ATOMIC_POSITIONS crystal
Sb 0.5000 0.0000 0.5000
Zn 0.0000 0.5000 0.5000
Rh 0.0000 0.0000 0.0000
Rh 0.5000 0.5000 0.0000

=====

Entry 21:
! PBE-GGA ZnSbRh2, optimized geometry; values from VASP
! Magnetic moment (μB/f.u.): 0.0
! Energy (eV/cell): -21.42
! Space-group type: No. 8
&SYSTEM
  ibrav = 0, nat = 4, ntyp = 3
/
ATOMIC_SPECIES
Rh 102.91 Rh.upf
Sb 121.76 Sb.upf
Zn 65.41 Zn.upf
CELL_PARAMETERS angstrom
4.9971 -0.0081 0.0031
4.0214 2.9664 0.0031
1.0300 0.3379 4.3115
ATOMIC_POSITIONS crystal
Rh 0.9906 0.9906 0.0767
Rh 0.7592 0.7592 0.6809
Sb 0.4963 0.4963 0.5674
Zn 0.2539 0.2539 0.1750

=====

Entry 22:
! PBE-GGA ZnSbRh2, optimized geometry; values from VASP
! Magnetic moment (μB/f.u.): 0.0
! Energy (eV/cell): -20.86
! Space-group type: No. 166
&SYSTEM
  ibrav = 0, nat = 4, ntyp = 3
/
ATOMIC_SPECIES
Rh 102.91 Rh.upf
Sb 121.76 Sb.upf
Zn 65.41 Zn.upf
CELL_PARAMETERS angstrom
7.7599 0.0178 0.0106
7.0903 3.1534 0.0106
7.0903 1.5141 2.7662
ATOMIC_POSITIONS crystal
Rh 0.0016 0.0016 0.0016
Rh 0.4984 0.4984 0.4984
Sb 0.2500 0.2500 0.2500
Zn 0.7500 0.7500 0.7500

=====

Entry 23:
! PBE-GGA ZnSb2Rh2, optimized geometry; values from VASP
! Magnetic moment (μB/f.u.): 0.0
! Energy (eV/cell): -50.31
! Energy above the most stable polymorph in this dataset (eV per atom): 0.000
! Space-group type: No. 127
&SYSTEM
  ibrav = 0, nat = 10, ntyp = 3
/
ATOMIC_SPECIES
Sb 121.76 Sb.upf
Zn 65.41 Zn.upf
Rh 102.91 Rh.upf
CELL_PARAMETERS angstrom
-3.9553 0.7932 -5.7364
0.7434 -6.8198 -1.4556
-3.1085 -0.7735 2.0364
ATOMIC_POSITIONS crystal
Sb 0.1581 0.6581 0.5000
Sb 0.6581 0.8419 0.5000
Sb 0.8419 0.3419 0.5000
Sb 0.3419 0.1581 0.5000
Zn 0.0000 0.0000 0.0000
Zn 0.5000 0.5000 0.0000
Rh 0.3519 0.8519 0.0000
Rh 0.8519 0.6481 0.0000
Rh 0.6481 0.1481 0.0000
Rh 0.1481 0.3519 0.0000

=====

Entry 24:
! PBE-GGA ZnSbRh2, optimized geometry; values from VASP
! Magnetic moment (μB/f.u.): 0.4
! Energy (eV/cell): -19.67
! Space-group type: No. 160
&SYSTEM
  ibrav = 0, nat = 4, ntyp = 3
/
ATOMIC_SPECIES
Rh 102.91 Rh.upf
Sb 121.76 Sb.upf
Zn 65.41 Zn.upf
CELL_PARAMETERS angstrom
8.7244 0.0013 0.0008
8.1857 3.0181 0.0008
8.1857 1.4616 2.6406
ATOMIC_POSITIONS crystal
Rh 0.0019 0.0019 0.0019
Rh 0.2506 0.2506 0.2506
Sb 0.5069 0.5069 0.5069
Zn 0.7407 0.7407 0.7407